Material: LaBrCl3
Method: DFT, GGA-PBE
State: relaxed

Energy relative to the elements, uncorrected: -1.599 eV per atom
Crystal system: cubic
Offset from the most stable computed form: 0.000 eV per atom

a b c (Å): 5.5681 5.5681 5.5681
angles (deg): 90.00 90.00 90.00
Each line ends with the local moment (μB).
Fractional coordinates of all 5 atoms:
Br: 0.5000 0.5000 0.5000  0.61
Cl: 0.5000 0.0000 0.0000  0.04
Cl: 0.0000 0.5000 0.0000  0.02
Cl: 0.0000 0.0000 0.5000  0.05
La: 0.0000 0.0000 0.0000  0.00

Material: ScMnCoMo
Method: DFT, GGA-PBE
State: relaxed

Crystal system: cubic
Energy of formation from the pure elements: -0.003 eV/atom

a b c (Å): 4.3051 4.3051 4.3051
angles (deg): 60.00 60.00 60.00
Each line ends with the local moment (μB).
Fractional coordinates of all 4 atoms:
Mn: 0.7500 0.7500 0.7500  -0.06
Mo: 0.5000 0.5000 0.5000  0.16
Sc: 0.0000 0.0000 0.0000  -0.06
Co: 0.2500 0.2500 0.2500  0.98

Material: KIn2SnRu
Method: DFT, GGA-PBE
State: relaxed

Crystal system: tetragonal
Energy of formation from the pure elements: -0.076 eV/atom

a b c (Å): 5.2473 5.2473 5.1674
angles (deg): 90.00 90.00 90.00
Fractional coordinates of all 5 atoms:
Ru: 0.0000 0.0000 0.0000
In: 0.5000 0.0000 0.0000
In: 0.0000 0.5000 0.0000
Sn: 0.0000 0.0000 0.5000
K: 0.5000 0.5000 0.5000

Material: CsScTi2
Method: DFT, GGA-PBE
State: relaxed

Crystal system: tetragonal
Energy of formation from the pure elements: 1.355 eV/atom
Offset from the most stable computed form: 0.089 eV per atom

a b c (Å): 4.2751 4.2751 10.9953
angles (deg): 78.79 78.79 90.00
Fractional coordinates of all 8 atoms:
Cs: 0.7500 0.2500 0.5000
Cs: 0.0000 0.0000 0.0000
Ti: 0.3750 0.3878 0.7500
Ti: 0.1378 0.6250 0.2500
Ti: 0.6122 0.1250 0.2500
Ti: 0.8750 0.8622 0.7500
Sc: 0.5000 0.5000 0.0000
Sc: 0.2500 0.7500 0.5000

Material: YPu2Ti
Method: DFT, GGA-PBE
State: relaxed

Crystal system: tetragonal
Energy of formation from the pure elements: 0.217 eV/atom

a b c (Å): 3.2308 3.2308 9.4308
angles (deg): 90.00 90.00 90.00
Each line ends with the local moment (μB).
Fractional coordinates of all 4 atoms:
Pu: 0.0000 0.0000 0.7810  5.34
Pu: 0.0000 0.0000 0.2190  5.34
Y: 0.5000 0.5000 0.5000  0.11
Ti: 0.5000 0.5000 0.0000  -0.03

Material: LaHgW4
Method: DFT, GGA-PBE
State: relaxed

Crystal system: cubic
Energy of formation from the pure elements: 0.618 eV/atom

a b c (Å): 5.5438 5.5438 5.5438
angles (deg): 60.00 60.00 60.00
Fractional coordinates of all 6 atoms:
W: 0.8757 0.3748 0.3748
W: 0.3748 0.8757 0.3748
W: 0.3748 0.3748 0.3748
W: 0.3748 0.3748 0.8757
La: 0.0000 0.0000 0.0000
Hg: 0.7500 0.7500 0.7500

Material: Sr3GeBi
Method: DFT, GGA-PBE
State: relaxed

Crystal system: cubic
Energy of formation from the pure elements: -0.464 eV/atom
Offset from the most stable computed form: 0.165 eV per atom

a b c (Å): 5.9303 5.9303 5.9303
angles (deg): 90.00 90.00 90.00
Fractional coordinates of all 5 atoms:
Ge: 0.0000 0.0000 0.0000
Sr: 0.0000 0.5000 0.0000
Sr: 0.5000 0.0000 0.0000
Sr: 0.0000 0.0000 0.5000
Bi: 0.5000 0.5000 0.5000

Material: AcLa2In
Method: DFT, GGA-PBE
State: relaxed

Crystal system: cubic
Energy of formation from the pure elements: -0.121 eV/atom
Offset from the most stable computed form: 0.132 eV per atom

a b c (Å): 5.8076 5.8076 5.8076
angles (deg): 60.00 60.00 60.00
Fractional coordinates of all 4 atoms:
La: 0.7500 0.7500 0.7500
La: 0.2500 0.2500 0.2500
In: 0.5000 0.5000 0.5000
Ac: 0.0000 0.0000 0.0000

Material: NbCrHIr2
Method: DFT, GGA-PBE
State: relaxed

Crystal system: tetragonal
Offset from the most stable computed form: 0.000 eV per atom

a b c (Å): 3.9416 3.9416 3.9476
angles (deg): 90.00 90.00 90.00
Each line ends with the local moment (μB).
Fractional coordinates of all 5 atoms:
Nb: 0.5000 0.5000 0.5000  -0.24
Cr: 0.0000 0.0000 0.5000  1.68
Ir: 0.5000 0.0000 0.0000  -0.04
Ir: 0.0000 0.5000 0.0000  -0.04
H: 0.0000 0.0000 0.0000  -0.01

Material: Pm2MgGe2
Method: DFT, GGA-PBE
State: relaxed

Crystal system: orthorhombic
Energy of formation from the pure elements: -0.680 eV/atom
Offset from the most stable computed form: 0.100 eV per atom

a b c (Å): 4.3825 5.8963 5.8963
angles (deg): 61.63 68.18 68.18
Fractional coordinates of all 5 atoms:
Pm: 0.2048 0.2952 0.2952
Pm: 0.7952 0.7048 0.7048
Ge: 0.5000 0.2866 0.7134
Ge: 0.5000 0.7134 0.2866
Mg: 0.0000 0.0000 0.0000

Material: Be2SbRh
Method: DFT, GGA-PBE
State: relaxed

Energy relative to the elements, uncorrected: 0.220 eV per atom
Crystal system: trigonal

a b c (Å): 7.4149 7.4149 7.4149
angles (deg): 24.09 24.09 24.09
Fractional coordinates of all 4 atoms:
Be: 0.5141 0.5141 0.5141
Be: 0.9859 0.9859 0.9859
Sb: 0.7500 0.7500 0.7500
Rh: 0.2500 0.2500 0.2500

Material: KV
Method: DFT, GGA-PBE
State: relaxed

Crystal system: cubic
Energy of formation from the pure elements: 2.224 eV/atom
Offset from the most stable computed form: 1.482 eV per atom

a b c (Å): 10.2166 10.2166 10.2166
angles (deg): 90.00 90.00 90.00
Each line ends with the local moment (μB).
Fractional coordinates of all 12 atoms:
V: 0.7500 0.5000 0.0000  3.19
V: 0.0000 0.7500 0.5000  3.19
V: 0.0000 0.2500 0.5000  3.19
V: 0.2500 0.5000 0.0000  3.19
V: 0.5000 0.0000 0.7500  3.19
V: 0.5000 0.0000 0.2500  3.19
K: 0.7500 0.0000 0.5000  0.02
K: 0.5000 0.2500 0.0000  0.02
K: 0.0000 0.5000 0.2500  0.02
K: 0.0000 0.5000 0.7500  0.02
K: 0.5000 0.7500 0.0000  0.02
K: 0.2500 0.0000 0.5000  0.02

| no. | E_tot (eV/atom) | calculated volume (Å³/f.u.) |
| --- | --- | --- |
| 1 | -4.027 | 173 |
| 2 | -8.362 | 56 |
| 3 | -4.047 | 142 |
| 4 | -4.389 | 97 |
| 5 | -10.539 | 98 |
| 6 | -8.889 | 120 |
| 7 | -3.172 | 209 |
| 8 | -4.296 | 139 |
| 9 | -8.411 | 61 |
| 10 | -4.746 | 121 |
| 11 | -4.512 | 60 |
| 12 | -2.884 | 178 |